(1)
This record from Alexandria describes CuRhO after structural relaxation. The functional is PBE-GGA.

Output
The value obtained for the calculated total energy is -15.826 eV per formula unit. The density of states at the Fermi level comes out at 5.860 states/eV/cell. The energy above the most stable polymorph in this dataset is 0.038 eV per atom. As for the raw formation energy: 193.1 meV per atom.

Cell lengths 3.223, 3.223, 6.947 Å; angles 91.94, 91.94, 87.84 degrees
Element x y z (fractional)
Cu 0.249 0.751 0.000
Cu 0.751 0.249 0.000
Rh 0.280 0.280 0.311
Rh 0.720 0.720 0.689
O 0.280 0.280 0.617
O 0.720 0.720 0.383

(2)
This record from Alexandria describes RbNp2HgBr8 after structural relaxation. The functional is PBE-GGA.

Output
The value obtained for the calculated total energy is -54.565 eV per formula unit. The density of states at the Fermi level comes out at 12.537 states/eV/cell. As for the raw formation energy: -1169.3 meV per atom.

Cell lengths 8.122, 8.122, 8.105 Å; angles 90.00, 90.00, 120.00 degrees
Element x y z (fractional)
Rb 0.000 0.000 0.000
Np 0.333 0.667 0.425
Np 0.667 0.333 0.575
Hg 0.000 0.000 0.500
Br 0.052 0.402 0.664
Br 0.333 0.667 0.085
Br 0.350 0.948 0.664
Br 0.402 0.350 0.336
Br 0.598 0.650 0.664
Br 0.650 0.052 0.336
Br 0.667 0.333 0.915
Br 0.948 0.598 0.336

(3)
This record from Alexandria describes Tb8Dy3Y2 after structural relaxation. The functional is PBE-GGA.

Output
The value obtained for the calculated total energy is -60.789 eV per formula unit. The density of states at the Fermi level comes out at 21.612 states/eV/cell. The formation energy from the elements comes out at 22.2 kJ/mol of atoms.

Cell lengths 10.835, 10.835, 5.615 Å; angles 90.02, 90.02, 41.24 degrees
Element x y z (fractional)
Tb 0.103 0.682 0.000
Tb 0.166 0.166 0.501
Tb 0.318 0.897 0.000
Tb 0.368 0.368 0.500
Tb 0.632 0.632 0.500
Tb 0.682 0.103 0.000
Tb 0.834 0.834 0.499
Tb 0.897 0.318 0.000
Dy 0.214 0.786 0.500
Dy 0.500 0.500 0.000
Dy 0.786 0.214 0.500
Y 0.259 0.259 0.001
Y 0.741 0.741 0.999

Q: Among the records above, which one has the highest calculated total energy?
A: CuRhO

Repeat the first record exactly.
This record from Alexandria describes CuRhO after structural relaxation. The functional is PBE-GGA.

Output
The value obtained for the calculated total energy is -15.826 eV per formula unit. The density of states at the Fermi level comes out at 5.860 states/eV/cell. The energy above the most stable polymorph in this dataset is 0.038 eV per atom. As for the raw formation energy: 193.1 meV per atom.

Cell lengths 3.223, 3.223, 6.947 Å; angles 91.94, 91.94, 87.84 degrees
Element x y z (fractional)
Cu 0.249 0.751 0.000
Cu 0.751 0.249 0.000
Rh 0.280 0.280 0.311
Rh 0.720 0.720 0.689
O 0.280 0.280 0.617
O 0.720 0.720 0.383

Q: Which formula does entry 1 have?
A: CuRhO